Below is a relaxed structure of LiSnHg, with properties calculated at the PBE level.

abc: 6.631 6.631 6.631
angles: 90.00 90.00 90.00
Space group F-43m (No. 216)
Unique sites:
Li  0.000  0.000  0.000 (multiplicity 4)
Sn  0.000  0.000  0.500 (multiplicity 4)
Hg  0.250  0.250  0.250 (multiplicity 4)

Summary:
The calculation puts the energy above the most stable polymorph in this dataset at 0.000 eV/atom.

***

Below is a relaxed structure of ThAl, with properties calculated at the PBE level.

abc: 4.9049 4.9049 5.4377
angles: 90.00 90.00 120.00
Space group P6_3/mmc (No. 194)
Unique sites:
Th  0.3333  0.6667  0.2500 (multiplicity 2)
Al  0.0000  0.0000  0.0000 (multiplicity 2)

Summary:
For the total energy, the calculation gives -5.6150 eV/atom. The total magnetic moment comes out at 0.0 μB per cell.

***

Below is a relaxed structure of LiLuHg2, with properties calculated at the PBE level.

abc: 6.904 6.904 6.904
angles: 90.00 90.00 90.00
Space group F-43m (No. 216)
Unique sites:
Li  0.000  0.000  0.000 (multiplicity 4)
Lu  0.250  0.250  0.250 (multiplicity 4)
Hg  0.000  0.000  0.500 (multiplicity 4)
Hg  0.250  0.250  0.750 (multiplicity 4)

Summary:
For the total energy, the calculation gives -2.0496 eV/atom. The total magnetic moment comes out at 0.0 μB per cell.

***

Below is a relaxed structure of TcAg2Sn, with properties calculated at the PBE level.

abc: 6.544 6.544 6.544
angles: 90.00 90.00 90.00
Space group F-43m (No. 216)
Unique sites:
Tc  0.000  0.000  0.000 (multiplicity 4)
Ag  0.000  0.000  0.500 (multiplicity 4)
Ag  0.250  0.250  0.250 (multiplicity 4)
Sn  0.250  0.250  0.750 (multiplicity 4)

Summary:
For the total energy, the calculation gives -4.6685 eV/atom. The total magnetic moment comes out at 0.2 μB per cell.

***

Below is a relaxed structure of NaCoHgTe, with properties calculated at the PBE level.

abc: 6.962 6.962 6.962
angles: 90.00 90.00 90.00
Space group F-43m (No. 216)
Unique sites:
Na  0.000  0.000  0.000 (multiplicity 4)
Co  0.000  0.000  0.500 (multiplicity 4)
Hg  0.250  0.250  0.750 (multiplicity 4)
Te  0.250  0.250  0.250 (multiplicity 4)

Summary:
The calculation puts the energy above the most stable polymorph in this dataset at 0.000 eV/atom. The total magnetic moment comes out at 7.9 μB per cell.

***

Below is a relaxed structure of Dy2HoO3, with properties calculated at the PBE level.

abc: 3.3892 3.3892 8.2534
angles: 90.00 90.00 120.00
Space group P-3m1 (No. 164)
Unique sites:
Dy  0.3333  0.6667  0.1667 (multiplicity 2)
Ho  0.0000  0.0000  0.5000 (multiplicity 1)
O  0.0000  0.0000  0.0000 (multiplicity 1)
O  0.3333  0.6667  0.6625 (multiplicity 2)

Summary:
For the total energy, the calculation gives -7.5647 eV/atom. The total magnetic moment comes out at 0.0 μB per cell.

***

Below is a relaxed structure of CsLuCoS3, with properties calculated at the PBE level.

abc: 9.366 3.851 9.548
angles: 90.00 112.90 90.00
Space group P2_1/m (No. 11)
Unique sites:
Cs  0.212  0.250  0.241 (multiplicity 2)
Lu  0.333  0.750  0.860 (multiplicity 2)
Co  0.076  0.250  0.593 (multiplicity 2)
S  0.130  0.250  0.847 (multiplicity 2)
S  0.173  0.750  0.544 (multiplicity 2)
S  0.477  0.750  0.158 (multiplicity 2)

Summary:
The calculation puts the energy above the most stable polymorph in this dataset at 0.000 eV/atom. The total magnetic moment comes out at 3.7 μB per cell.

***

Below is a relaxed structure of LiTmCdTe3, with properties calculated at the PBE level.

abc: 13.271 4.325 12.753
angles: 90.00 90.00 90.00
Space group Pnma (No. 62)
Unique sites:
Li  0.114  0.250  0.010 (multiplicity 4)
Tm  0.055  0.250  0.674 (multiplicity 4)
Cd  0.232  0.250  0.281 (multiplicity 4)
Te  0.064  0.750  0.853 (multiplicity 4)
Te  0.075  0.250  0.422 (multiplicity 4)
Te  0.223  0.750  0.134 (multiplicity 4)

Summary:
The calculation puts the energy above the most stable polymorph in this dataset at 0.008 eV/atom. The total magnetic moment comes out at 0.0 μB per cell.